VASP calculation (PBE) on LiYZrNi after structural relaxation.

Summary:
DFT formation energy   -11 meV/atom
M_tot   0.088 μB/f.u.
Space group   F-43m (216)

Lattice parameters (Å, degrees): 4.777 4.777 4.777 60.00 60.00 60.00
Sites, in units of the cell vectors:
Li 0.000 0.000 0.000
Y 0.250 0.250 0.250
Zr 0.750 0.750 0.750
Ni 0.500 0.500 0.500


VASP calculation (PBE) on BaTaBe4 after structural relaxation.

Summary:
DFT formation energy   651 meV/atom
M_tot   0.000 μB/f.u.
Space group   F-43m (216)

Lattice parameters (Å, degrees): 4.972 4.972 4.972 60.00 60.00 60.00
Sites, in units of the cell vectors:
Ba 0.000 0.000 0.000
Ta 0.250 0.250 0.250
Be 0.153 0.616 0.616
Be 0.616 0.153 0.616
Be 0.616 0.616 0.153
Be 0.616 0.616 0.616


VASP calculation (PBE) on LiEuZnGa after structural relaxation.

Summary:
DFT formation energy   -282 meV/atom
M_tot   7.006 μB/f.u.
Space group   F-43m (216)

Lattice parameters (Å, degrees): 4.804 4.804 4.804 60.00 60.00 60.00
Sites, in units of the cell vectors:
Li 0.000 0.000 0.000
Eu 0.250 0.250 0.250
Zn 0.500 0.500 0.500
Ga 0.750 0.750 0.750


VASP calculation (PBE) on Ca2Mg2Si4Pd after structural relaxation.

Summary:
M_tot   0.000 μB/f.u.
Space group   I4/mmm (139)
Formation energy from raw total energies   -0.303 eV per atom

Lattice parameters (Å, degrees): 6.318 6.318 6.318 121.77 121.77 86.95
Sites, in units of the cell vectors:
Ca 0.250 0.750 0.500
Ca 0.750 0.250 0.500
Mg 0.222 0.222 0.000
Mg 0.778 0.778 0.000
Si 0.210 0.210 0.420
Si 0.210 0.790 0.000
Si 0.790 0.210 0.000
Si 0.790 0.790 0.580
Pd 0.500 0.500 0.000


VASP calculation (PBE) on SiTeIr2 after structural relaxation.

Summary:
Energy above the lowest structure with this stoichiometry   89 meV/atom
M_tot   0.000 μB/f.u.
Space group   Pm (6)
Formation energy from raw total energies   -0.114 eV per atom

Lattice parameters (Å, degrees): 4.045 4.042 5.696 90.00 90.38 90.00
Sites, in units of the cell vectors:
Si 0.000 0.000 0.000
Te 0.505 0.500 0.507
Ir 0.002 0.500 0.217
Ir 0.502 0.000 0.217


VASP calculation (PBE) on Ta11Ir9Ru4 after structural relaxation.

Summary:
DFT formation energy   -432 meV/atom
M_tot   0.000 μB/f.u.
Space group   Cmmm (65)

Lattice parameters (Å, degrees): 12.064 12.064 2.992 90.00 90.00 116.98
Sites, in units of the cell vectors:
Ta 0.000 0.000 0.000
Ta 0.043 0.397 0.000
Ta 0.173 0.827 0.000
Ta 0.280 0.280 0.000
Ta 0.373 0.627 0.000
Ta 0.397 0.043 0.000
Ta 0.603 0.957 0.000
Ta 0.627 0.373 0.000
Ta 0.720 0.720 0.000
Ta 0.827 0.173 0.000
Ta 0.957 0.603 0.000
Ir 0.042 0.197 0.500
Ir 0.158 0.619 0.500
Ir 0.197 0.042 0.500
Ir 0.381 0.842 0.500
Ir 0.500 0.500 0.500
Ir 0.619 0.158 0.500
Ir 0.803 0.958 0.500
Ir 0.842 0.381 0.500
Ir 0.958 0.803 0.500
Ru 0.241 0.435 0.500
Ru 0.435 0.241 0.500
Ru 0.565 0.759 0.500
Ru 0.759 0.565 0.500


VASP calculation (PBE) on Dy2Y3Tm6Sc after structural relaxation.

Summary:
DFT formation energy   35 meV/atom
M_tot   0.000 μB/f.u.
Space group   C2/m (12)

Lattice parameters (Å, degrees): 6.057 6.057 11.609 94.98 94.98 119.95
Sites, in units of the cell vectors:
Dy 0.167 0.833 0.000
Dy 0.833 0.167 0.000
Y 0.000 0.000 0.500
Y 0.334 0.666 0.500
Y 0.666 0.334 0.500
Tm 0.087 0.419 0.754
Tm 0.250 0.250 0.247
Tm 0.419 0.087 0.754
Tm 0.581 0.913 0.246
Tm 0.750 0.750 0.753
Tm 0.913 0.581 0.246
Sc 0.500 0.500 0.000


VASP calculation (PBE) on NdPuSiAg after structural relaxation.

Summary:
M_tot   6.227 μB/f.u.
Space group   F-43m (216)
Formation energy from raw total energies   -0.238 eV per atom

Lattice parameters (Å, degrees): 5.158 5.158 5.158 60.00 60.00 60.00
Sites, in units of the cell vectors:
Nd 0.000 0.000 0.000
Pu 0.500 0.500 0.500
Si 0.250 0.250 0.250
Ag 0.750 0.750 0.750


VASP calculation (PBE) on TaOs after structural relaxation.

Summary:
DFT formation energy   -87 meV/atom
M_tot   0.000 μB/f.u.
Space group   Cm (8)

Lattice parameters (Å, degrees): 5.436 5.436 6.532 106.41 106.41 32.10
Sites, in units of the cell vectors:
Ta 0.000 0.000 0.000
Ta 0.033 0.033 0.552
Ta 0.347 0.347 0.214
Os 0.312 0.312 0.665
Os 0.668 0.668 0.321
Os 0.691 0.691 0.894


VASP calculation (PBE) on LaTlTeN2 after structural relaxation.

Summary:
Energy above the lowest structure with this stoichiometry   0 meV/atom
M_tot   0.578 μB/f.u.
Space group   P4/mmm (123)
Formation energy from raw total energies   0.549 eV per atom

Lattice parameters (Å, degrees): 4.422 4.422 6.854 90.00 90.00 90.00
Sites, in units of the cell vectors:
La 0.000 0.000 0.000
Tl 0.500 0.500 0.500
Te 0.000 0.000 0.500
N 0.000 0.500 0.000
N 0.500 0.000 0.000


VASP calculation (PBE) on Zr5Si3 after structural relaxation.

Summary:
Energy above the lowest structure with this stoichiometry   286 meV/atom
M_tot   0.000 μB/f.u.
Space group   Cmmm (65)
Formation energy from raw total energies   -0.536 eV per atom

Lattice parameters (Å, degrees): 6.128 6.128 4.268 90.00 90.00 104.40
Sites, in units of the cell vectors:
Zr 0.000 0.000 0.000
Zr 0.000 0.500 0.000
Zr 0.286 0.286 0.500
Zr 0.500 0.000 0.000
Zr 0.714 0.714 0.500
Si 0.202 0.798 0.500
Si 0.500 0.500 0.000
Si 0.798 0.202 0.500


VASP calculation (PBE) on U2MoIr9 after structural relaxation.

Summary:
DFT formation energy   -473 meV/atom
M_tot   0.000 μB/f.u.
Space group   P4/mmm (123)

Lattice parameters (Å, degrees): 3.997 3.997 12.010 90.00 90.00 90.00
Sites, in units of the cell vectors:
U 0.000 0.000 0.169
U 0.000 0.000 0.831
Mo 0.000 0.000 0.500
Ir 0.000 0.500 0.000
Ir 0.000 0.500 0.343
Ir 0.000 0.500 0.657
Ir 0.500 0.000 0.000
Ir 0.500 0.000 0.343
Ir 0.500 0.000 0.657
Ir 0.500 0.500 0.172
Ir 0.500 0.500 0.500
Ir 0.500 0.500 0.828


VASP calculation (PBE) on Cs2ReGe after structural relaxation.

Summary:
DFT formation energy   1753 meV/atom
M_tot   2.883 μB/f.u.
Space group   Fm-3m (225)

Lattice parameters (Å, degrees): 6.107 6.107 6.107 60.00 60.00 60.00
Sites, in units of the cell vectors:
Cs 0.250 0.250 0.250
Cs 0.750 0.750 0.750
Re 0.000 0.000 0.000
Ge 0.500 0.500 0.500


VASP calculation (PBE) on MnBe2Tl after structural relaxation.

Summary:
DFT formation energy   480 meV/atom
Energy above the lowest structure with this stoichiometry   91 meV/atom
M_tot   2.500 μB/f.u.
Space group   Pmm2 (25)

Lattice parameters (Å, degrees): 2.812 3.680 5.559 90.00 90.00 90.00
Sites, in units of the cell vectors:
Mn 0.000 0.000 0.000
Be 0.500 0.000 0.334
Be 0.500 0.500 0.142
Tl 0.500 0.500 0.661


VASP calculation (PBE) on YFeC after structural relaxation.

Summary:
DFT formation energy   -243 meV/atom
Energy above the lowest structure with this stoichiometry   0 meV/atom
M_tot   0.000 μB/f.u.
Space group   Pnma (62)

Lattice parameters (Å, degrees): 4.939 3.651 10.255 90.00 90.00 90.00
Sites, in units of the cell vectors:
Y 0.001 0.250 0.147
Y 0.499 0.750 0.647
Y 0.501 0.250 0.353
Y 0.999 0.750 0.853
Fe 0.001 0.750 0.422
Fe 0.499 0.250 0.922
Fe 0.501 0.750 0.078
Fe 0.999 0.250 0.578
C 0.001 0.250 0.392
C 0.499 0.750 0.892
C 0.501 0.250 0.108
C 0.999 0.750 0.608


VASP calculation (PBE) on RbBa2LiIn after structural relaxation.

Summary:
DFT formation energy   15 meV/atom
M_tot   0.000 μB/f.u.
Space group   P4/mmm (123)

Lattice parameters (Å, degrees): 6.907 6.907 5.709 90.00 90.00 90.00
Sites, in units of the cell vectors:
Rb 0.000 0.000 0.000
Ba 0.000 0.500 0.500
Ba 0.500 0.000 0.500
Li 0.500 0.500 0.000
In 0.500 0.500 0.500


VASP calculation (PBE) on ThTiP2Rh5 after structural relaxation.

Summary:
DFT formation energy   -761 meV/atom
M_tot   0.000 μB/f.u.
Space group   P4/mmm (123)

Lattice parameters (Å, degrees): 4.043 4.043 9.939 90.00 90.00 90.00
Sites, in units of the cell vectors:
Th 0.000 0.000 0.000
Ti 0.000 0.000 0.500
P 0.500 0.500 0.230
P 0.500 0.500 0.770
Rh 0.000 0.500 0.336
Rh 0.000 0.500 0.664
Rh 0.500 0.000 0.336
Rh 0.500 0.000 0.664
Rh 0.500 0.500 0.000


VASP calculation (PBE) on NdY3Se6 after structural relaxation.

Summary:
M_tot   0.000 μB/f.u.
Space group   P2_1/m (11)
Formation energy from raw total energies   -1.897 eV per atom

Lattice parameters (Å, degrees): 11.633 4.146 11.929 90.00 109.09 90.00
Sites, in units of the cell vectors:
Nd 0.047 0.250 0.195
Nd 0.953 0.750 0.805
Y 0.159 0.250 0.585
Y 0.319 0.750 0.999
Y 0.437 0.250 0.333
Y 0.563 0.750 0.667
Y 0.681 0.250 0.001
Y 0.841 0.750 0.415
Se 0.084 0.750 0.404
Se 0.116 0.250 0.965
Se 0.195 0.750 0.750
Se 0.259 0.750 0.226
Se 0.394 0.250 0.560
Se 0.481 0.250 0.114
Se 0.519 0.750 0.886
Se 0.606 0.750 0.440
Se 0.741 0.250 0.774
Se 0.805 0.250 0.250
Se 0.884 0.750 0.035
Se 0.916 0.250 0.596


VASP calculation (PBE) on La3Ru after structural relaxation.

Summary:
DFT formation energy   -69 meV/atom
M_tot   0.000 μB/f.u.
Space group   P4/mmm (123)

Lattice parameters (Å, degrees): 3.581 3.581 9.616 90.00 90.00 90.00
Sites, in units of the cell vectors:
La 0.000 0.000 0.000
La 0.500 0.500 0.323
La 0.500 0.500 0.677
Ru 0.000 0.000 0.500


VASP calculation (PBE) on Nd3NbTl3Se8 after structural relaxation.

Summary:
M_tot   1.005 μB/f.u.
Space group   R-3m (166)
Formation energy from raw total energies   -1.199 eV per atom

Lattice parameters (Å, degrees): 9.225 9.225 9.225 53.79 53.79 53.79
Sites, in units of the cell vectors:
Nd 0.000 0.500 0.500
Nd 0.500 0.000 0.500
Nd 0.500 0.500 0.000
Nb 0.000 0.000 0.000
Tl 0.000 0.000 0.500
Tl 0.000 0.500 0.000
Tl 0.500 0.000 0.000
Se 0.218 0.218 0.764
Se 0.218 0.764 0.218
Se 0.236 0.782 0.782
Se 0.262 0.262 0.262
Se 0.738 0.738 0.738
Se 0.764 0.218 0.218
Se 0.782 0.236 0.782
Se 0.782 0.782 0.236


VASP calculation (PBE) on HgPd2Se2 after structural relaxation.

Summary:
M_tot   0.000 μB/f.u.
Space group   I4/mmm (139)
Formation energy from raw total energies   -0.076 eV per atom

Lattice parameters (Å, degrees): 7.373 7.373 7.373 146.66 146.66 47.87
Sites, in units of the cell vectors:
Hg 0.000 0.000 0.000
Pd 0.250 0.750 0.500
Pd 0.750 0.250 0.500
Se 0.352 0.352 0.000
Se 0.648 0.648 0.000


VASP calculation (PBE) on TaSi after structural relaxation.

Summary:
M_tot   0.000 μB/f.u.
Space group   Fddd (70)
Formation energy from raw total energies   -0.118 eV per atom

Lattice parameters (Å, degrees): 6.474 6.119 5.077 69.95 62.61 47.44
Sites, in units of the cell vectors:
Ta 0.074 0.676 0.074
Ta 0.324 0.926 0.324
Ta 0.676 0.074 0.676
Ta 0.926 0.324 0.926
Si 0.193 0.557 0.557
Si 0.443 0.807 0.807
Si 0.557 0.193 0.193
Si 0.807 0.443 0.443


VASP calculation (PBE) on La4Tb4Pr after structural relaxation.

Summary:
DFT formation energy   26 meV/atom
M_tot   0.000 μB/f.u.
Space group   I4/mmm (139)

Lattice parameters (Å, degrees): 8.180 8.180 8.180 95.79 95.79 142.96
Sites, in units of the cell vectors:
La 0.168 0.168 0.335
La 0.168 0.832 0.000
La 0.832 0.168 0.000
La 0.832 0.832 0.665
Tb 0.163 0.500 0.663
Tb 0.500 0.163 0.663
Tb 0.500 0.837 0.337
Tb 0.837 0.500 0.337
Pr 0.500 0.500 0.000